1.
VASP calculation (GGA-PBE) on a relaxed TbGa12Pd6 crystal.

```
TbGa12Pd6
1.0
5.678 3.278 2.966
-5.678 3.278 2.966
0.000 -6.557 2.966
Tb Ga Pd
1 12 6
direct
0.000 0.000 0.000
0.110 0.500 0.890
0.110 0.890 0.500
0.143 0.393 0.393
0.393 0.143 0.393
0.393 0.393 0.143
0.500 0.110 0.890
0.500 0.890 0.110
0.607 0.607 0.857
0.607 0.857 0.607
0.857 0.607 0.607
0.890 0.110 0.500
0.890 0.500 0.110
0.283 0.711 0.711
0.289 0.289 0.717
0.289 0.717 0.289
0.711 0.283 0.711
0.711 0.711 0.283
0.717 0.289 0.289
```

Results
The space-group type is R-3m (166). The calculation puts the energy of formation at -0.47 eV/atom. As for the mass density: 8.2 g/cm3. The calculation puts the final energy at -4.267 eV per atom. Its calculated volume is 17.4 Å³ per atom. The total magnetic moment comes out at 0.000 μB per atom.



2.
VASP calculation (GGA-PBE) on a relaxed Tb3Ga8Pd3 crystal.

```
Tb3Ga8Pd3
1.0
-2.129 4.895 6.208
2.129 -4.895 6.208
2.129 4.895 -6.208
Tb Ga Pd
3 8 3
direct
0.000 0.000 0.000
0.315 0.315 0.000
0.685 0.685 0.000
0.036 0.665 0.370
0.152 0.871 0.281
0.295 0.665 0.630
0.411 0.129 0.281
0.589 0.871 0.719
0.705 0.335 0.370
0.848 0.129 0.719
0.964 0.335 0.630
0.288 0.500 0.788
0.500 0.000 0.500
0.712 0.500 0.212
```

Results
The space-group type is Immm (71). The calculation puts the energy of formation at -0.72 eV/atom. As for the mass density: 8.7 g/cm3. The calculation puts the final energy at -4.552 eV per atom. Its calculated volume is 18.5 Å³ per atom. The energy relative to the lowest polymorph listed for this composition comes out at 0 meV/atom. The total magnetic moment comes out at 0.000 μB per atom.



3.
VASP calculation (GGA-PBE) on a relaxed Tb2Ga2Pd crystal.

```
Tb2Ga2Pd
1.0
5.318 -2.182 0.000
5.318 2.182 0.000
-4.858 0.000 9.421
Tb Ga Pd
4 4 2
direct
0.009 0.009 0.328
0.188 0.188 0.116
0.812 0.812 0.884
0.991 0.991 0.672
0.359 0.359 0.443
0.475 0.475 0.111
0.525 0.525 0.889
0.641 0.641 0.557
0.275 0.275 0.657
0.725 0.725 0.343
```

Results
The space-group type is C2/m (12). The calculation puts the energy of formation at -0.76 eV/atom. As for the mass density: 8.6 g/cm3. The calculation puts the final energy at -4.865 eV per atom. Its calculated volume is 21.9 Å³ per atom. The energy relative to the lowest polymorph listed for this composition comes out at 0 meV/atom. The total magnetic moment comes out at 0.000 μB per atom.



4.
VASP calculation (GGA-PBE) on a relaxed TbGaPd4 crystal.

```
TbGaPd4
1.0
4.736 0.000 0.000
-0.001 5.357 0.000
-2.353 -2.657 8.249
Tb Ga Pd
2 2 8
direct
0.250 0.217 0.000
0.750 0.783 0.000
0.000 0.500 0.500
0.500 0.000 0.500
0.080 0.985 0.657
0.156 0.566 0.810
0.344 0.757 0.190
0.420 0.329 0.344
0.580 0.671 0.656
0.656 0.243 0.810
0.844 0.434 0.190
0.920 0.015 0.343
```

Results
The space-group type is P-1 (2). The calculation puts the energy of formation at -0.64 eV/atom. As for the mass density: 10.4 g/cm3. The calculation puts the final energy at -5.378 eV per atom. Its calculated volume is 17.4 Å³ per atom. The energy relative to the lowest polymorph listed for this composition comes out at 0 meV/atom. The total magnetic moment comes out at 0.000 μB per atom.



5.
VASP calculation (GGA-PBE) on a relaxed Tb8GaPd2 crystal.

```
Tb8GaPd2
1.0
8.927 -2.561 0.000
8.927 2.561 0.000
-2.050 0.000 6.513
Tb Ga Pd
8 1 2
direct
0.032 0.032 0.283
0.200 0.200 0.828
0.327 0.327 0.512
0.406 0.406 0.035
0.594 0.594 0.965
0.673 0.673 0.488
0.800 0.800 0.172
0.968 0.968 0.717
0.500 0.500 0.500
0.179 0.179 0.223
0.821 0.821 0.777
```

Results
The space-group type is C2/m (12). The calculation puts the energy of formation at -0.42 eV/atom. As for the mass density: 8.7 g/cm3. The calculation puts the final energy at -5.010 eV per atom. Its calculated volume is 27.1 Å³ per atom. The energy relative to the lowest polymorph listed for this composition comes out at 0 meV/atom. The total magnetic moment comes out at 0.000 μB per atom.



6.
VASP calculation (GGA-PBE) on a relaxed TbGa3Pd5 crystal.

```
TbGa3Pd5
1.0
2.134 -6.678 0.000
2.134 6.678 0.000
0.000 0.000 11.283
Tb Ga Pd
2 6 10
direct
0.227 0.773 0.750
0.773 0.227 0.250
0.080 0.920 0.250
0.390 0.610 0.089
0.390 0.610 0.411
0.610 0.390 0.589
0.610 0.390 0.911
0.920 0.080 0.750
0.000 0.000 0.000
0.000 0.000 0.500
0.204 0.796 0.063
0.204 0.796 0.437
0.424 0.576 0.628
0.424 0.576 0.872
0.576 0.424 0.128
0.576 0.424 0.372
0.796 0.204 0.563
0.796 0.204 0.937
```

Results
The space-group type is Cmcm (63). The calculation puts the energy of formation at -0.62 eV/atom. As for the mass density: 9.3 g/cm3. The calculation puts the final energy at -5.029 eV per atom. Its calculated volume is 17.9 Å³ per atom. The total magnetic moment comes out at 0.000 μB per atom.